Record 1
A geometry-optimized Cs4Hg2Sb structure, computed with GGA-PBE.

a = 7.3874 Å, b = 7.3874 Å, c = 21.0565 Å
α = 90.00°, β = 90.00°, γ = 90.00°
Space group I4/mmm (No. 139)
Symmetry-distinct sites (fractional):
Cs 0.0000 0.0000 0.1836 (multiplicity 4)
Cs 0.0000 0.5000 0.0000 (multiplicity 4)
Hg 0.0000 0.0000 0.3612 (multiplicity 4)
Sb 0.0000 0.0000 0.5000 (multiplicity 2)

Calculated values
Magnetization in μB/atom: 0.038
Volume in Å³/cell: 1149
Formation energy (no corrections) in eV per atom: -0.134

***

Record 2
A geometry-optimized Er8GaNi2 structure, computed with GGA-PBE.

a = 8.4324 Å, b = 13.0229 Å, c = 5.3001 Å
α = 90.00°, β = 105.31°, γ = 90.00°
Space group Cm (No. 8)
Symmetry-distinct sites (fractional):
Er 0.0000 0.0000 0.0000 (multiplicity 2)
Er 0.0884 0.3721 0.7742 (multiplicity 4)
Er 0.1787 0.1279 0.6084 (multiplicity 4)
Er 0.2668 0.5000 0.3825 (multiplicity 2)
Er 0.3834 0.2391 0.1913 (multiplicity 4)
Ga 0.3834 0.0000 0.1901 (multiplicity 2)
Ni 0.3840 0.3048 0.6919 (multiplicity 4)

Calculated values
Magnetization in μB/atom: 0.000
Formation enthalpy at 0 K in eV per atom: -0.178
Volume in Å³/cell: 561

***

Record 3
A geometry-optimized Fe2TeI8 structure, computed with GGA-PBE.

a = 12.8765 Å, b = 10.7968 Å, c = 8.4580 Å
α = 90.00°, β = 92.62°, γ = 90.00°
Space group C2/m (No. 12)
Symmetry-distinct sites (fractional):
Fe 0.2020 0.0000 0.3091 (multiplicity 4)
Te 0.0000 0.0000 0.0000 (multiplicity 2)
I 0.0745 0.1866 0.2388 (multiplicity 8)
I 0.1479 0.5000 0.8677 (multiplicity 4)
I 0.2500 0.0000 0.5985 (multiplicity 4)

Calculated values
Magnetization in μB/atom: 0.908
Volume in Å³/cell: 1175
Formation energy (no corrections) in eV per atom: -0.124

***

Record 4
A geometry-optimized HoSnPd4 structure, computed with GGA-PBE.

a = 4.8974 Å, b = 8.9843 Å, c = 4.9240 Å
α = 90.00°, β = 96.99°, γ = 90.00°
Space group C2/m (No. 12)
Symmetry-distinct sites (fractional):
Ho 0.0000 0.0000 0.0000 (multiplicity 2)
Sn 0.0000 0.5000 0.5000 (multiplicity 2)
Pd 0.0000 0.1669 0.5000 (multiplicity 4)
Pd 0.0000 0.3370 0.0000 (multiplicity 4)

Calculated values
Magnetization in μB/atom: 0.000
Formation enthalpy at 0 K in eV per atom: -0.692
Volume in Å³/cell: 215

***

Record 5
A geometry-optimized Ho3Tm5Tl structure, computed with GGA-PBE.

a = 11.9105 Å, b = 11.1940 Å, c = 10.0848 Å
α = 90.00°, β = 109.25°, γ = 90.00°
Space group C2/m (No. 12)
Symmetry-distinct sites (fractional):
Ho 0.0000 0.0000 0.0000 (multiplicity 2)
Ho 0.9999 0.0000 0.3133 (multiplicity 4)
Ho 0.0000 0.5000 0.5000 (multiplicity 2)
Ho 0.0043 0.5000 0.1724 (multiplicity 4)
Tm 0.0000 0.2303 0.5000 (multiplicity 4)
Tm 0.1853 0.2405 0.2960 (multiplicity 8)
Tm 0.2359 0.0000 0.5574 (multiplicity 4)
Tm 0.2495 0.5000 0.0921 (multiplicity 4)
Tl 0.2321 0.5000 0.7703 (multiplicity 4)

Calculated values
Magnetization in μB/atom: 0.000
Formation enthalpy at 0 K in eV per atom: 0.405
Volume in Å³/cell: 1269

***

Record 6
A geometry-optimized Tm2MgZrN4 structure, computed with GGA-PBE.

a = 5.7142 Å, b = 3.3243 Å, c = 5.7152 Å
α = 90.00°, β = 109.28°, γ = 90.00°
Space group P2/m (No. 10)
Symmetry-distinct sites (fractional):
Tm 0.0000 0.0000 0.0000 (multiplicity 1)
Tm 0.0000 0.5000 0.5000 (multiplicity 1)
Mg 0.5000 0.0000 0.5000 (multiplicity 1)
Zr 0.5000 0.5000 0.0000 (multiplicity 1)
N 0.2567 0.5000 0.2426 (multiplicity 2)
N 0.2597 0.0000 0.7589 (multiplicity 2)

Calculated values
Magnetization in μB/atom: 0.000
Volume in Å³/cell: 102
Formation energy (no corrections) in eV per atom: -1.538

***

Record 7
A geometry-optimized K2NpSc2O6 structure, computed with GGA-PBE.

a = 5.7133 Å, b = 9.9556 Å, c = 6.6479 Å
α = 90.00°, β = 107.63°, γ = 90.00°
Space group C2/m (No. 12)
Symmetry-distinct sites (fractional):
K 0.0000 0.1708 0.0000 (multiplicity 4)
Np 0.0000 0.0000 0.5000 (multiplicity 2)
Sc 0.0000 0.3330 0.5000 (multiplicity 4)
O 0.2237 0.5000 0.6684 (multiplicity 4)
O 0.2269 0.1743 0.6704 (multiplicity 8)

Calculated values
Magnetization in μB/atom: 0.273
Volume in Å³/cell: 360
Formation energy (no corrections) in eV per atom: -2.814

***

Record 8
A geometry-optimized Te3Ir5 structure, computed with GGA-PBE.

a = 8.9895 Å, b = 8.9895 Å, c = 4.6573 Å
α = 90.00°, β = 90.00°, γ = 120.00°
Space group P6_3/mcm (No. 193)
Symmetry-distinct sites (fractional):
Te 0.0000 0.3533 0.2500 (multiplicity 6)
Ir 0.0000 0.1757 0.7500 (multiplicity 6)
Ir 0.3333 0.6667 0.0000 (multiplicity 4)

Calculated values
Magnetization in μB/atom: 0.000
Volume in Å³/cell: 326
Formation energy (no corrections) in eV per atom: 0.602